# 1
Below is crystalline AcPmP4 at its relaxed geometry, with properties calculated at the GGA-PBE level.

```
AcPmP4
1.0
5.561 0.000 0.000
2.781 4.816 0.000
2.781 1.605 4.541
P Ac Pm
4 1 1
Cartesian
5.561 3.211 0.607
5.561 1.643 2.825
6.919 3.995 2.825
4.204 3.995 2.825
0.000 0.000 0.000
2.781 1.605 1.135
```

Output
The formation energy from the elements comes out at -318 meV per atom. The space group is No. 216. Its magnetic moment is 0.00 μB/cell. As for the final energy: -5.40 eV per atom.

# 2
Below is crystalline LiGa2N at its relaxed geometry, with properties calculated at the GGA-PBE level.

```
LiGa2N
1.0
-3.172 1.478 4.565
-4.253 -3.399 -1.856
-2.181 -3.995 3.401
Li Ga N
2 4 2
Cartesian
-3.713 -0.960 1.355
-5.073 -4.177 1.450
-3.300 -0.388 3.818
-3.359 -3.050 -0.085
-4.097 -3.459 3.708
-8.456 -4.935 4.781
0.000 0.000 0.000
-4.533 -1.739 4.660
```

Output
The space group is No. 122. The value obtained for the relative energy among the computed polymorphs is 0.00 eV per formula unit. Its magnetic moment is 0.00 μB/cell. The value obtained for the energy relative to the elements, uncorrected is 0.0626 eV/atom. As for the final energy: -4.01 eV per atom.